A plane-wave DFT calculation with PBE-GGA was carried out for Cd7Ga3Sn after structural relaxation.

## Properties
The value obtained for the theoretical density is 7.262 g/cm3. The value obtained for the volume is 254.90 Å³/cell. Its raw total energy is -1.707 eV/atom. The energy of formation from the pure elements is 0.0645 eV per atom.

Cell lengths 6.5784, 6.5784, 6.8014 Å; angles 90.00, 90.00, 120.00 degrees
Space group P3m1 (No. 156)
Asymmetric unit:
Cd 0.0000 0.0000 0.0000 (multiplicity 1)
Cd 0.0202 0.5101 0.9294 (multiplicity 3)
Cd 0.1811 0.3622 0.3226 (multiplicity 3)
Ga 0.3033 0.1517 0.6370 (multiplicity 3)
Sn 0.6667 0.3333 0.3079 (multiplicity 1)